No. 1
DFT (GGA-PBE) results for crystalline NdY2HoTm2 at its relaxed geometry.

```
12
Lattice="6.478 0.000 0.000 0.000 17.829 0.000 0.000 0.000 3.409" Properties=species:S:1:pos:R:3 pbc="T T T"
Nd 0.000 0.000 0.000
Nd 3.239 8.915 1.705
Y 1.424 3.361 0.000
Y 1.815 12.275 1.705
Y 4.663 5.554 1.705
Y 5.054 14.469 0.000
Ho 0.000 8.915 0.000
Ho 3.239 0.000 1.705
Tm 1.408 6.304 1.705
Tm 1.831 15.218 0.000
Tm 4.647 2.611 0.000
Tm 5.070 11.526 1.705
```

Results
As for the space-group type: Pnnm. As for the total DFT energy (no corrections): -4.93 eV/atom.

=====

No. 2
DFT (GGA-PBE) results for crystalline LiMgW at its relaxed geometry.

```
3
Lattice="2.823 0.000 0.000 -1.411 2.444 0.000 0.000 0.000 7.491" Properties=species:S:1:pos:R:3 pbc="T T T"
Li 0.000 0.000 0.000
Mg 1.411 0.815 2.605
W 0.000 1.630 5.081
```

Results
As for the energy above the lowest structure with this stoichiometry: 17.0 meV/atom. As for the space-group type: P3m1. As for the total DFT energy (no corrections): -5.10 eV/atom.

=====

No. 3
DFT (GGA-PBE) results for crystalline Sb2Br at its relaxed geometry.

```
12
Lattice="6.844 0.000 0.000 -3.422 5.927 0.000 0.000 0.000 8.779" Properties=species:S:1:pos:R:3 pbc="T T T"
Sb 0.000 0.000 0.000
Sb 0.000 0.000 4.389
Sb 0.000 2.236 2.195
Sb -1.485 4.808 2.195
Sb 1.937 1.118 6.584
Sb 1.485 4.808 2.195
Sb 4.907 1.118 6.584
Sb 3.422 3.690 6.584
Br 0.000 3.951 4.870
Br 0.000 3.951 8.299
Br 3.422 1.976 0.480
Br 3.422 1.976 3.909
```

Results
The formation energy (no corrections) is 0.02 eV/atom. As for the energy above the lowest structure with this stoichiometry: 214.5 meV/atom. As for the space-group type: P6_3/mmc. As for the total DFT energy (no corrections): -3.28 eV/atom.

=====

No. 4
DFT (GGA-PBE) results for crystalline ErCdTcO6 at its relaxed geometry.

```
9
Lattice="5.466 0.000 0.000 -2.733 4.734 0.000 0.000 0.000 4.731" Properties=species:S:1:pos:R:3 pbc="T T T"
Er 0.000 0.000 0.000
Cd 2.733 1.578 2.366
Tc 0.000 3.156 0.000
O -0.772 1.779 1.072
O -1.578 3.175 3.659
O 0.772 1.779 3.659
O -0.806 4.513 1.072
O 1.578 3.175 1.072
O 0.806 4.513 3.659
```

Results
The formation energy (no corrections) is -1.78 eV/atom. As for the space-group type: P312. As for the total DFT energy (no corrections): -6.85 eV/atom.

=====

No. 5
DFT (GGA-PBE) results for crystalline KSr3Pr2Te6 at its relaxed geometry.

```
12
Lattice="10.205 -2.331 0.000 10.205 2.331 0.000 -2.110 0.000 9.252" Properties=species:S:1:pos:R:3 pbc="T T T"
K 0.000 0.000 0.000
Sr -1.055 0.000 4.626
Sr 6.567 0.000 1.508
Sr 11.733 0.000 7.743
Pr 5.420 0.000 6.152
Pr 12.880 0.000 3.099
Te 2.244 0.000 5.372
Te 3.316 0.000 0.915
Te 8.523 0.000 6.822
Te 9.776 0.000 2.429
Te 14.984 0.000 8.336
Te 16.056 0.000 3.879
```

Results
The formation energy (no corrections) is -1.55 eV/atom. As for the space-group type: C2/m. As for the total DFT energy (no corrections): -4.42 eV/atom.

=====

No. 6
DFT (GGA-PBE) results for crystalline DyCdNi4 at its relaxed geometry.

```
6
Lattice="0.000 3.517 3.517 3.517 0.000 3.517 3.517 3.517 0.000" Properties=species:S:1:pos:R:3 pbc="T T T"
Dy 0.000 0.000 0.000
Cd 5.275 5.275 5.275
Ni 2.643 2.643 2.643
Ni 4.391 4.391 2.643
Ni 4.391 2.643 4.391
Ni 2.643 4.391 4.391
```

Results
As for the space-group type: F-43m. As for the total DFT energy (no corrections): -5.13 eV/atom.

=====

no.,V (A^3/atom)
1,32.81
2,17.23
3,29.67
4,13.60
5,36.67
6,14.50